(1)
Here is crystalline Cr3Os4 at its relaxed geometry from Alexandria. Energies are from PBE.

a b c (Å): 4.6398 4.6398 4.9749
angles (deg): 90.00 90.00 120.00
Element x y z (fractional)
Cr  0.5000  0.5000  0.0000
Cr  0.5000  0.0000  0.0000
Os  0.0000  0.0000  0.7449
Os  0.6667  0.3333  0.5000
Os  0.0000  0.0000  0.2551
Os  0.3333  0.6667  0.5000
Cr  0.0000  0.5000  0.0000



(2)
Here is crystalline CrOs at its relaxed geometry from Alexandria. Energies are from PBE.

a b c (Å): 4.1786 4.1786 4.6670
angles (deg): 90.00 90.00 120.00
Element x y z (fractional)
Os  0.6667  0.3333  0.2500
Cr  0.3333  0.6667  0.2500
Os  0.3333  0.6667  0.7500
Cr  0.6667  0.3333  0.7500



(3)
Here is crystalline CrOs2 at its relaxed geometry from Alexandria. Energies are from PBE.

a b c (Å): 3.7881 3.7881 11.7488
angles (deg): 99.28 99.28 90.00
Site moments in Bohr magnetons follow the coordinates.
Element x y z (fractional)
Os  0.0013  0.5013  0.0026  -0.08
Os  0.2487  0.2487  0.4974  -0.08
Cr  0.1686  0.6686  0.3372  0.84
Cr  0.9186  0.9186  0.8372  0.84
Os  0.6655  0.1655  0.3309  -0.10
Os  0.4987  0.9987  0.9974  -0.08
Os  0.7513  0.7513  0.5026  -0.08
Os  0.5845  0.5845  0.1691  -0.10
Os  0.4155  0.4155  0.8309  -0.10
Cr  0.0814  0.0814  0.1628  0.84
Cr  0.3314  0.8314  0.6628  0.84
Os  0.8345  0.3345  0.6691  -0.10



(4)
Here is crystalline CrOs2 at its relaxed geometry from Alexandria. Energies are from PBE.

a b c (Å): 6.1971 6.1971 3.8415
angles (deg): 90.00 90.00 120.00
Element x y z (fractional)
Cr  0.3333  0.6667  0.0000
Cr  0.0000  0.0000  0.5000
Os  0.0000  0.6038  0.5000
Os  0.6038  0.0000  0.5000
Cr  0.6667  0.3333  0.0000
Os  0.3962  0.3962  0.5000
Os  0.7435  0.7435  0.0000
Os  0.0000  0.2565  0.0000
Os  0.2565  0.0000  0.0000



(5)
Here is crystalline CrOs2 at its relaxed geometry from Alexandria. Energies are from PBE.

a b c (Å): 4.6433 4.6433 4.6433
angles (deg): 146.20 132.29 59.74
Element x y z (fractional)
Os  0.3356  0.3356  0.0000
Os  0.6644  0.6644  0.0000
Cr  0.0000  0.0000  0.0000



(6)
Here is crystalline CrOs at its relaxed geometry from Alexandria. Energies are from PBE.

a b c (Å): 6.5942 5.7345 2.7658
angles (deg): 90.00 90.00 90.00
Element x y z (fractional)
Cr  0.5000  0.2998  0.0000
Os  0.2141  0.5000  0.5000
Os  0.7859  0.5000  0.5000
Os  0.2859  0.0000  0.5000
Cr  0.0000  0.7998  0.0000
Os  0.7141  0.0000  0.5000
Cr  0.0000  0.2002  0.0000
Cr  0.5000  0.7002  0.0000



(7)
Here is crystalline CrOs at its relaxed geometry from Alexandria. Energies are from PBE.

a b c (Å): 5.0034 5.0034 4.6541
angles (deg): 90.00 90.00 90.00
Element x y z (fractional)
Os  0.6880  0.6880  0.0000
Os  0.8120  0.1880  0.5000
Os  0.1880  0.8120  0.5000
Cr  0.1836  0.8164  0.0000
Cr  0.3164  0.3164  0.5000
Os  0.3120  0.3120  0.0000
Cr  0.6836  0.6836  0.5000
Cr  0.8164  0.1836  0.0000



(8)
Here is crystalline CrOs2 at its relaxed geometry from Alexandria. Energies are from PBE.

a b c (Å): 5.9408 5.9408 5.9408
angles (deg): 153.80 153.80 37.39
Element x y z (fractional)
Os  0.1624  0.1624  0.0000
Os  0.8376  0.8376  0.0000
Cr  0.5000  0.5000  0.0000



(9)
Here is crystalline CrOs2 at its relaxed geometry from Alexandria. Energies are from PBE.

a b c (Å): 6.0308 6.0308 3.7827
angles (deg): 90.00 90.00 143.55
Element x y z (fractional)
Os  0.5818  0.4182  0.7500
Cr  0.0842  0.9158  0.2500
Cr  0.9158  0.0842  0.7500
Os  0.2482  0.7518  0.7500
Os  0.4182  0.5818  0.2500
Os  0.7518  0.2482  0.2500



(10)
Here is crystalline CrOs at its relaxed geometry from Alexandria. Energies are from PBE.

a b c (Å): 3.7885 3.7885 3.7885
angles (deg): 60.00 60.00 60.00
Site moments in Bohr magnetons follow the coordinates.
Element x y z (fractional)
Os  0.7500  0.7500  0.7500  -0.06
Cr  0.0000  0.0000  0.0000  0.15



(11)
Here is crystalline CrOs at its relaxed geometry from Alexandria. Energies are from PBE.

a b c (Å): 2.6323 2.6323 8.4547
angles (deg): 90.00 90.00 114.28
Element x y z (fractional)
Cr  0.0000  0.0000  0.9861
Os  0.0000  0.0000  0.5162
Cr  0.5000  0.5000  0.7639
Os  0.5000  0.5000  0.2338



(12)
Here is crystalline CrOs at its relaxed geometry from Alexandria. Energies are from PBE.

a b c (Å): 2.6903 2.6903 8.5058
angles (deg): 90.00 90.00 120.00
Element x y z (fractional)
Os  0.3333  0.6667  0.7595
Os  0.0000  0.0000  0.4905
Cr  0.0000  0.0000  0.0000
Cr  0.3333  0.6667  0.2500



(13)
Here is crystalline CrOs at its relaxed geometry from Alexandria. Energies are from PBE.

a b c (Å): 2.6806 2.6806 3.6696
angles (deg): 90.00 90.00 90.00
Element x y z (fractional)
Cr  0.5000  0.5000  0.0000
Os  0.0000  0.0000  0.5000



(14)
Here is crystalline Cr4Os5 at its relaxed geometry from Alexandria. Energies are from PBE.

a b c (Å): 5.9609 5.9609 5.9609
angles (deg): 95.78 95.78 143.00
Element x y z (fractional)
Os  0.3319  0.3319  0.6638
Os  0.6681  0.6681  0.3362
Os  0.3319  0.6681  0.0000
Cr  0.6686  0.0000  0.6686
Os  0.6681  0.3319  0.0000
Cr  0.0000  0.6686  0.6686
Os  0.0000  0.0000  0.0000
Cr  0.0000  0.3314  0.3314
Cr  0.3314  0.0000  0.3314



(15)
Here is crystalline CrOs at its relaxed geometry from Alexandria. Energies are from PBE.

a b c (Å): 3.4839 3.4839 3.4839
angles (deg): 60.00 60.00 60.00
Site moments in Bohr magnetons follow the coordinates.
Element x y z (fractional)
Os  0.5000  0.5000  0.5000  -0.50
Cr  0.0000  0.0000  0.0000  1.17



(16)
Here is crystalline CrOs at its relaxed geometry from Alexandria. Energies are from PBE.

a b c (Å): 4.5228 4.5228 4.5228
angles (deg): 34.55 34.55 34.55
Element x y z (fractional)
Cr  0.0000  0.0000  0.0000
Os  0.5000  0.5000  0.5000



(17)
Here is crystalline CrOs at its relaxed geometry from Alexandria. Energies are from PBE.

a b c (Å): 7.6860 7.6860 3.8602
angles (deg): 90.00 90.00 90.00
Element x y z (fractional)
Cr  0.3449  0.3449  0.5000
Cr  0.5000  0.8291  0.0000
Os  0.1759  0.1759  0.0000
Cr  0.3449  0.6551  0.5000
Cr  0.6551  0.6551  0.5000
Os  0.3347  0.0000  0.5000
Os  0.1759  0.8241  0.0000
Os  0.8241  0.1759  0.0000
Os  0.0000  0.3347  0.5000
Cr  0.6551  0.3449  0.5000
Os  0.8241  0.8241  0.0000
Os  0.6653  0.0000  0.5000
Cr  0.5000  0.1709  0.0000
Cr  0.8291  0.5000  0.0000
Cr  0.1709  0.5000  0.0000
Os  0.0000  0.6653  0.5000



(18)
Here is crystalline Cr6Os7 at its relaxed geometry from Alexandria. Energies are from PBE.

a b c (Å): 9.0738 9.0738 9.0738
angles (deg): 32.41 32.41 32.41
Site moments in Bohr magnetons follow the coordinates.
Element x y z (fractional)
Os  0.4122  0.9229  0.4122  -0.05
Cr  0.3378  0.3378  0.3378  -1.23
Cr  0.9575  0.9575  0.9575  0.41
Os  0.5878  0.0771  0.5878  -0.05
Cr  0.8526  0.8526  0.8526  2.85
Os  0.9229  0.4122  0.4122  -0.05
Os  0.5878  0.5878  0.0771  -0.05
Cr  0.1474  0.1474  0.1474  2.85
Cr  0.0425  0.0425  0.0425  0.41
Os  0.4122  0.4122  0.9229  -0.05
Os  0.5000  0.5000  0.5000  -0.28
Os  0.0771  0.5878  0.5878  -0.05
Cr  0.6622  0.6622  0.6622  -1.23



(19)
Here is crystalline CrOs2 at its relaxed geometry from Alexandria. Energies are from PBE.

a b c (Å): 4.8427 4.8427 4.8427
angles (deg): 102.09 102.09 125.52
Element x y z (fractional)
Os  0.6459  0.8541  0.5000
Os  0.8541  0.3541  0.2083
Cr  0.7500  0.7500  0.0000
Cr  0.2500  0.2500  0.0000
Os  0.3541  0.1459  0.5000
Os  0.1459  0.6459  0.7917



(20)
Here is crystalline Cr4Os5 at its relaxed geometry from Alexandria. Energies are from PBE.

a b c (Å): 7.2495 7.2495 5.2989
angles (deg): 90.00 90.00 60.00
Element x y z (fractional)
Os  0.6753  0.0000  0.2500
Os  0.3247  0.6753  0.2500
Os  0.3333  0.3333  0.0000
Os  0.6667  0.6667  0.5000
Cr  0.0000  0.0000  0.0000
Cr  0.3372  0.0000  0.2500
Cr  0.0000  0.3372  0.7500
Os  0.6667  0.6667  0.0000
Cr  0.6628  0.0000  0.7500
Cr  0.6628  0.3372  0.2500
Os  0.3247  0.0000  0.7500
Os  0.6753  0.3247  0.7500
Cr  0.0000  0.0000  0.5000
Os  0.0000  0.6753  0.7500
Os  0.3333  0.3333  0.5000
Os  0.0000  0.3247  0.2500
Cr  0.3372  0.6628  0.7500
Cr  0.0000  0.6628  0.2500



(21)
Here is crystalline CrOs at its relaxed geometry from Alexandria. Energies are from PBE.

a b c (Å): 5.0146 5.0146 6.3124
angles (deg): 75.74 75.74 31.02
Element x y z (fractional)
Os  0.9494  0.9494  0.6122
Os  0.2724  0.2724  0.9476
Cr  0.6688  0.6688  0.6657
Os  0.3334  0.3334  0.3324
Cr  0.6102  0.6102  0.2785
Cr  0.9991  0.9991  0.9969



(22)
Here is crystalline CrOs2 at its relaxed geometry from Alexandria. Energies are from PBE.

a b c (Å): 11.4472 11.4472 11.4472
angles (deg): 166.28 166.28 19.44
Element x y z (fractional)
Cr  0.7500  0.2500  0.5000
Cr  0.0000  0.0000  0.0000
Os  0.4248  0.4248  0.0000
Os  0.1748  0.6748  0.5000
Os  0.5752  0.5752  0.0000
Os  0.3252  0.8252  0.5000



(23)
Here is crystalline Cr3Os4 at its relaxed geometry from Alexandria. Energies are from PBE.

a b c (Å): 12.4208 12.4208 12.4208
angles (deg): 167.28 167.28 18.03
Element x y z (fractional)
Cr  0.2780  0.2780  0.0000
Os  0.1524  0.1524  0.0000
Cr  0.0000  0.0000  0.0000
Os  0.4276  0.4276  0.0000
Cr  0.7220  0.7220  0.0000
Os  0.5724  0.5724  0.0000
Os  0.8476  0.8476  0.0000



(24)
Here is crystalline CrOs2 at its relaxed geometry from Alexandria. Energies are from PBE.

a b c (Å): 5.7546 5.7546 5.7546
angles (deg): 90.00 90.00 90.00
Element x y z (fractional)
Os  0.6212  0.6212  0.6212
Cr  0.5000  0.0000  0.5000
Os  0.6212  0.8788  0.1212
Os  0.1212  0.8788  0.3788
Cr  0.0000  0.5000  0.5000
Cr  0.0000  0.0000  0.0000
Cr  0.5000  0.5000  0.0000
Os  0.8788  0.3788  0.1212
Os  0.8788  0.1212  0.6212
Os  0.3788  0.1212  0.8788
Os  0.1212  0.6212  0.8788
Os  0.3788  0.3788  0.3788



(25)
Here is crystalline CrOs at its relaxed geometry from Alexandria. Energies are from PBE.

a b c (Å): 3.7632 3.7632 5.1462
angles (deg): 90.00 90.00 120.00
Site moments in Bohr magnetons follow the coordinates.
Element x y z (fractional)
Os  0.0000  0.0000  0.5000  -0.37
Cr  0.3333  0.6667  0.2500  1.52
Cr  0.6667  0.3333  0.7500  1.52
Os  0.0000  0.0000  0.0000  -0.37



(26)
Here is crystalline CrOs at its relaxed geometry from Alexandria. Energies are from PBE.

a b c (Å): 2.6891 2.6891 4.2281
angles (deg): 90.00 90.00 120.00
Element x y z (fractional)
Os  0.6667  0.3333  0.5000
Cr  0.3333  0.6667  0.0000



| no. | M_tot (μB per formula unit) | VASP energy (eV for the cell shown) |
| --- | --- | --- |
| 1 | 0.00 | -72.8 |
| 2 | 0.00 | -37.0 |
| 3 | 0.70 | -127.1 |
| 4 | 0.00 | -92.0 |
| 5 | 0.00 | -31.7 |
| 6 | 0.00 | -83.2 |
| 7 | 0.00 | -75.4 |
| 8 | 0.00 | -31.7 |
| 9 | 0.00 | -63.5 |
| 10 | 0.09 | -18.0 |
| 11 | 0.00 | -40.2 |
| 12 | 0.00 | -41.0 |
| 13 | 0.00 | -20.6 |
| 14 | 0.00 | -93.3 |
| 15 | 0.70 | -18.6 |
| 16 | 0.00 | -20.6 |
| 17 | 0.00 | -159.1 |
| 18 | 3.76 | -131.4 |
| 19 | 0.00 | -63.4 |
| 20 | 0.00 | -186.6 |
| 21 | 0.00 | -62.0 |
| 22 | 0.00 | -62.3 |
| 23 | 0.00 | -72.6 |
| 24 | 0.00 | -114.6 |
| 25 | 1.22 | -38.4 |
| 26 | 0.00 | -20.6 |